{"formula": "CsKCdPt", "functional": "PBE-GGA", "state": "optimized geometry", "lattice_angstrom": [[2.3863, 1.3777, 9.0746], [-2.3863, 1.3777, 9.0746], [0.0000, -2.7554, 9.0746]], "species": ["Cs", "K", "Cd", "Pt"], "fractional_positions": [[0.0000, 0.0000, 0.0000], [0.8326, 0.8326, 0.8326], [0.2414, 0.2414, 0.2414], [0.5785, 0.5785, 0.5785]], "formation_enthalpy_0k_ev_per_atom": -0.152, "e_tot_ev_per_fu": -9.5, "space_group": "R3m"}